Model A:
DFT (PBE-GGA) results for Hf3Zr2In2 after structural relaxation.

Geometry as CIF:
```
data_Hf3Zr2In2
_cell_length_a 10.889
_cell_length_b 10.889
_cell_length_c 3.092
_cell_angle_alpha 90.00
_cell_angle_beta 90.00
_cell_angle_gamma 154.76
_space_group_name_H-M_alt 'P 1'
_space_group_IT_number 1
loop_
_space_group_symop_operation_xyz
'x,y,z'
loop_
_atom_site_label
_atom_site_type_symbol
_atom_site_fract_x
_atom_site_fract_y
_atom_site_fract_z
Hf1 Hf 0.000 0.000 0.000
Hf2 Hf 0.144 0.856 0.000
Hf3 Hf 0.856 0.144 0.000
Zr1 Zr 0.278 0.722 0.500
Zr2 Zr 0.722 0.278 0.500
In1 In 0.426 0.574 0.500
In2 In 0.574 0.426 0.500
```

Model B:
DFT (PBE-GGA) results for Hf3Zr2In2 after structural relaxation.

Geometry as CIF:
```
data_Hf3Zr2In2
_cell_length_a 5.600
_cell_length_b 5.600
_cell_length_c 7.182
_cell_angle_alpha 95.40
_cell_angle_beta 95.40
_cell_angle_gamma 44.07
_space_group_name_H-M_alt 'P 1'
_space_group_IT_number 1
loop_
_space_group_symop_operation_xyz
'x,y,z'
loop_
_atom_site_label
_atom_site_type_symbol
_atom_site_fract_x
_atom_site_fract_y
_atom_site_fract_z
Hf1 Hf 0.000 0.000 0.000
Hf2 Hf 0.282 0.282 0.860
Hf3 Hf 0.718 0.718 0.140
Zr1 Zr 0.144 0.144 0.426
Zr2 Zr 0.856 0.856 0.574
In1 In 0.427 0.427 0.281
In2 In 0.573 0.573 0.719
```

Of them, model A has the lowest stability.

Model A:
DFT (PBE-GGA) results for HfZr3In3 after structural relaxation.

Geometry as CIF:
```
data_HfZr3In3
_cell_length_a 7.201
_cell_length_b 7.201
_cell_length_c 6.415
_cell_angle_alpha 90.00
_cell_angle_beta 90.00
_cell_angle_gamma 90.09
_space_group_name_H-M_alt 'P 1'
_space_group_IT_number 1
loop_
_space_group_symop_operation_xyz
'x,y,z'
loop_
_atom_site_label
_atom_site_type_symbol
_atom_site_fract_x
_atom_site_fract_y
_atom_site_fract_z
Hf1 Hf 0.219 0.219 0.000
Hf2 Hf 0.781 0.781 0.000
Zr1 Zr 0.000 0.500 0.245
Zr2 Zr 0.000 0.500 0.755
Zr3 Zr 0.500 0.000 0.245
Zr4 Zr 0.500 0.000 0.755
Zr5 Zr 0.500 0.500 0.243
Zr6 Zr 0.500 0.500 0.757
In1 In 0.218 0.782 0.000
In2 In 0.221 0.779 0.500
In3 In 0.224 0.224 0.500
In4 In 0.776 0.776 0.500
In5 In 0.779 0.221 0.500
In6 In 0.782 0.218 0.000
```

Model B:
DFT (PBE-GGA) results for HfZr3In3 after structural relaxation.

Geometry as CIF:
```
data_HfZr3In3
_cell_length_a 8.437
_cell_length_b 8.437
_cell_length_c 5.130
_cell_angle_alpha 90.00
_cell_angle_beta 90.00
_cell_angle_gamma 120.00
_space_group_name_H-M_alt 'P 1'
_space_group_IT_number 1
loop_
_space_group_symop_operation_xyz
'x,y,z'
loop_
_atom_site_label
_atom_site_type_symbol
_atom_site_fract_x
_atom_site_fract_y
_atom_site_fract_z
Hf1 Hf 0.333 0.667 0.250
Hf2 Hf 0.667 0.333 0.750
Zr1 Zr 0.023 0.791 0.250
Zr2 Zr 0.209 0.232 0.250
Zr3 Zr 0.232 0.023 0.750
Zr4 Zr 0.768 0.977 0.250
Zr5 Zr 0.791 0.768 0.750
Zr6 Zr 0.977 0.209 0.750
In1 In 0.085 0.622 0.750
In2 In 0.378 0.464 0.750
In3 In 0.464 0.085 0.250
In4 In 0.536 0.915 0.750
In5 In 0.622 0.536 0.250
In6 In 0.915 0.378 0.250
```

Of them, model A has the lowest stability.